[1]
Below is crystalline Nd12Ho7In at its relaxed geometry, with properties calculated at the PBE-GGA level.

Computed properties:
Density of states at the Fermi level = 36.8 states/eV/cell
Symmetry = Im-3m (229)
Energy relative to the lowest polymorph listed for this composition = 506 meV/atom
Calculated volume = 39.1 Å³/atom

Unit cell a=10.0517 b=10.0517 c=10.0517 alpha=109.47 beta=109.47 gamma=109.47
With the nearest neighbours (Å) after each atom.
Atoms (fractional coordinates):
Nd 0.5574 0.7787 0.7787  2 Ho 2.94
Nd 0.0000 0.7787 0.2213  2 Ho 2.94
Nd 0.4426 0.2213 0.2213  2 Ho 2.94
Nd 0.0000 0.2213 0.7787  2 Ho 2.94
Nd 0.7787 0.0000 0.2213  2 Ho 2.94
Nd 0.7787 0.5574 0.7787  2 Ho 2.94
Nd 0.2213 0.0000 0.7787  2 Ho 2.94
Nd 0.2213 0.4426 0.2213  2 Ho 2.94
Nd 0.7787 0.7787 0.5574  2 Ho 2.94
Nd 0.2213 0.2213 0.4426  2 Ho 2.94
Nd 0.7787 0.2213 0.0000  2 Ho 2.94
Nd 0.2213 0.7787 0.0000  2 Ho 2.94
Ho 0.5000 0.5000 0.0000  12 Nd 4.13-4.57
Ho 0.0000 0.5000 0.5000  12 Nd 4.13-4.57
Ho 0.5000 0.0000 0.5000  12 Nd 4.13-4.57
Ho 0.5000 0.5000 0.5000  6 Nd 2.94
Ho 0.0000 0.0000 0.5000  6 Nd 2.94
Ho 0.5000 0.0000 0.0000  6 Nd 2.94
Ho 0.0000 0.5000 0.0000  6 Nd 2.94
In 0.0000 0.0000 0.0000  12 Nd 3.63

***

[2]
Below is crystalline BaBi2Te4 at its relaxed geometry, with properties calculated at the PBE-GGA level.

Computed properties:
ΔE_f (raw) = -422 kJ/mol of formula units
Symmetry = Cmcm (63)
Calculated volume = 38.4 Å³/atom

Unit cell a=4.5805 b=7.8037 c=15.7433 alpha=90.00 beta=90.00 gamma=107.07
With the nearest neighbours (Å) after each atom.
Atoms (fractional coordinates):
Ba 0.6127 0.2254 0.7500  6 Te 3.41-3.61
Ba 0.3873 0.7746 0.2500  6 Te 3.41-3.61
Bi 0.1345 0.2691 0.4310  6 Te 3.08-3.23
Bi 0.8655 0.7309 0.9310  6 Te 3.08-3.23
Bi 0.1345 0.2691 0.0690  6 Te 3.08-3.23
Bi 0.8655 0.7309 0.5690  6 Te 3.08-3.23
Te 0.7706 0.5412 0.1118  3 Bi 3.13-3.18
Te 0.7706 0.5412 0.3882  3 Bi 3.13-3.18
Te 0.2294 0.4588 0.8882  3 Bi 3.13-3.18
Te 0.2294 0.4588 0.6118  3 Bi 3.13-3.18
Te 0.9435 0.8871 0.7500  2 Bi 3.08, 2 Ba 3.41
Te 0.0565 0.1129 0.2500  2 Bi 3.08, 2 Ba 3.41
Te 0.5000 0.0000 0.0000  4 Bi 3.23
Te 0.5000 0.0000 0.5000  4 Bi 3.23

***

[3]
Below is crystalline Cu2TeRh at its relaxed geometry, with properties calculated at the PBE-GGA level.

Computed properties:
ΔE_f (raw) = 26 kJ/mol of formula units
Density of states at the Fermi level = 2.6 states/eV/cell
Symmetry = Pmm2 (25)
Calculated volume = 15.9 Å³/atom

Unit cell a=3.4741 b=3.3243 c=6.4225 alpha=58.82 beta=90.00 gamma=90.00
With the nearest neighbours (Å) after each atom.
Atoms (fractional coordinates):
Cu 0.0000 0.9624 0.0380  1 Rh 2.57, 4 Cu 2.62
Cu 0.5000 0.2724 0.2279  4 Cu 2.62, 2 Te 2.75, 4 Rh 2.85
Rh 0.0000 0.4939 0.5057  5 Cu 2.57-2.85, 4 Te 2.70
Te 0.5000 0.7712 0.7283  4 Rh 2.70, 6 Cu 2.75-2.95

***

In g cm⁻³, the theoretical density values for the records above are, in order, 6.4, 6.6, 9.4.
In μB/f.u., the magnetization values for the records above are, in order, 0.0, 0.0, 0.0.